UCrPbO6 (PBE+U, relaxed); ρ = 7.36 g cm⁻³; electronic total energy = -7.951 eV per atom
1.0
5.439 0.000 0.000
-2.719 4.710 0.000
0.000 0.000 10.443
U Cr Pb O
2 2 2 12
Direct
0.333 0.667 0.250 U
0.667 0.333 0.750 U
0.333 0.667 0.750 Cr
0.667 0.333 0.250 Cr
0.000 0.000 0.000 Pb
0.000 0.000 0.500 Pb
0.013 0.376 0.646 O
0.013 0.637 0.854 O
0.363 0.376 0.854 O
0.363 0.987 0.646 O
0.376 0.013 0.146 O
0.376 0.363 0.354 O
0.624 0.637 0.646 O
0.624 0.987 0.854 O
0.637 0.013 0.354 O
0.637 0.624 0.146 O
0.987 0.363 0.146 O
0.987 0.624 0.354 O